# 1
Here is a geometry-optimized BaMg4Si structure from Alexandria via LeMat-Bulk. Energies are from PBE.

Geometry as extended XYZ:
```
6
Lattice="-0.2435 -3.1504 5.2503 -5.2669 -0.3691 3.1102 -3.0463 -5.3112 0.2477" Properties=species:S:1:pos:R:3 pbc="T T T"
Mg -3.2221 -3.3253 3.2415
Mg -4.7262 -5.9478 3.3638
Mg -5.8227 -3.5075 4.7772
Mg -3.3423 -4.8809 5.8340
Si -6.4175 -6.6230 6.4562
Ba 0.0000 0.0000 0.0000
```

Computed properties:
* total moment: 0.000 μB per cell
* space group: F-43m

# 2
Here is a geometry-optimized Ba2Mg12Si7 structure from Alexandria via LeMat-Bulk. Energies are from PBE.

Geometry as extended XYZ:
```
21
Lattice="4.4269 0.0000 0.0000 0.0000 9.5792 -5.5306 0.0000 0.0000 11.0611" Properties=species:S:1:pos:R:3 pbc="T T T"
Mg 3.3248 5.4662 3.7196
Mg 3.2922 2.4411 0.1764
Mg 1.1021 9.0911 1.0631
Mg 1.1347 1.3734 9.0353
Mg 3.2922 8.2058 -3.5047
Mg 3.2922 8.5114 3.3283
Mg 1.1347 1.0678 2.2023
Mg 1.1021 4.1130 1.8110
Mg 3.3248 0.4881 4.4674
Mg 1.1021 5.9544 -2.8741
Mg 3.3248 3.6248 8.4046
Mg 1.1347 7.1381 5.3541
Si 2.2135 0.0000 0.0000
Si 3.3429 2.8307 2.8858
Si 1.0840 3.9145 -1.0085
Si 3.3429 1.0838 7.1668
Si 1.0840 8.4954 -1.6362
Si 3.3429 5.6647 6.5391
Si 1.0840 6.7485 2.6447
Ba 1.1390 3.1931 5.5306
Ba 3.2879 6.3861 0.0000
```

Computed properties:
* total moment: 0.000 μB per cell
* space group: P-3

# 3
Here is a geometry-optimized BaMg5Si2 structure from Alexandria via LeMat-Bulk. Energies are from PBE.

Geometry as extended XYZ:
```
8
Lattice="-3.6112 -0.6309 -2.3988 -1.9488 -6.8084 0.7238 -5.5178 -0.5846 4.4597" Properties=species:S:1:pos:R:3 pbc="T T T"
Mg -5.4663 -6.1919 1.8563
Mg -6.7856 -3.8911 3.2373
Mg -3.7333 -3.6965 2.5918
Mg -5.6115 -1.8320 0.9284
Mg -4.2922 -4.1327 -0.4526
Si -8.3082 -6.0176 2.0882
Si -2.7696 -2.0062 0.6965
Ba 0.0000 0.0000 0.0000
```

Computed properties:
* total moment: 0.000 μB per cell
* space group: Immm

# 4
Here is a geometry-optimized BaMg2Si structure from Alexandria via LeMat-Bulk. Energies are from PBE.

Geometry as extended XYZ:
```
4
Lattice="-1.6263 -2.5101 1.9581 1.5753 -2.5762 -1.9942 6.6071 -0.1042 5.3538" Properties=species:S:1:pos:R:3 pbc="T T T"
Mg 0.4917 -0.0078 0.3984
Mg 2.8119 -0.0443 2.2785
Si 1.6263 -2.5692 1.3204
Ba 4.9299 -2.6213 3.9973
```

Computed properties:
* total moment: 0.000 μB per cell
* space group: Pmmm

# 5
Here is a geometry-optimized BaMg2Si structure from Alexandria via LeMat-Bulk. Energies are from PBE.

Geometry as extended XYZ:
```
4
Lattice="-4.2544 -1.2505 1.4255 -2.9949 -1.9104 -3.0128 -0.2268 -6.8012 0.9468" Properties=species:S:1:pos:R:3 pbc="T T T"
Mg -5.7798 -7.0159 -0.5971
Mg -0.4760 -6.1506 0.7794
Ba -1.8180 -2.6277 -0.1252
Si -3.3672 -5.9502 -0.0709
```

Computed properties:
* total moment: 0.000 μB per cell
* space group: R3m

# 6
Here is a geometry-optimized Ba2MgSi structure from Alexandria via LeMat-Bulk. Energies are from PBE.

Geometry as extended XYZ:
```
4
Lattice="4.1319 0.0000 0.0000 0.0000 4.0366 0.0058 0.0000 4.0261 8.7850" Properties=species:S:1:pos:R:3 pbc="T T T"
Si 2.0659 6.0471 6.5932
Mg 2.0659 2.0157 2.1977
Ba 0.0000 4.0303 4.7370
Ba 0.0000 4.0272 8.4435
```

Computed properties:
* total moment: 0.000 μB per cell
* space group: Pmmm

# 7
Here is a geometry-optimized BaMgSi structure from Alexandria via LeMat-Bulk. Energies are from PBE.

Geometry as extended XYZ:
```
3
Lattice="-5.2010 0.9045 0.7039 -2.0286 0.1857 4.9209 -1.6451 4.6414 2.0287" Properties=species:S:1:pos:R:3 pbc="T T T"
Mg 0.0000 0.0000 0.0000
Ba -6.6560 4.2987 5.7401
Si -4.4373 2.8658 3.8267
```

Computed properties:
* total moment: 0.000 μB per cell
* space group: F-43m

# 8
Here is a geometry-optimized Ba2Mg2Si structure from Alexandria via LeMat-Bulk. Energies are from PBE.

Geometry as extended XYZ:
```
10
Lattice="7.5091 0.0000 0.0000 0.0000 7.5091 0.0000 0.0000 0.0000 5.6869" Properties=species:S:1:pos:R:3 pbc="T T T"
Ba 2.3735 1.3810 2.8435
Ba 1.3810 5.1356 2.8435
Ba 5.1356 6.1281 2.8435
Ba 6.1281 2.3735 2.8435
Mg 4.7860 1.0314 0.0000
Mg 2.7231 6.4777 0.0000
Mg 1.0314 2.7231 0.0000
Mg 6.4777 4.7860 0.0000
Si 0.0000 0.0000 0.0000
Si 3.7546 3.7546 0.0000
```

Computed properties:
* total moment: 0.000 μB per cell
* space group: P4/mbm

# 9
Here is a geometry-optimized BaMg2Si structure from Alexandria via LeMat-Bulk. Energies are from PBE.

Geometry as extended XYZ:
```
4
Lattice="5.8422 0.0422 0.0000 -2.1079 5.4488 0.0000 0.0000 0.0000 3.5817" Properties=species:S:1:pos:R:3 pbc="T T T"
Mg 1.8671 2.7455 0.0000
Mg 0.0000 0.0000 0.0000
Ba -1.0540 2.7244 1.7909
Si 2.9211 0.0211 1.7909
```

Computed properties:
* total moment: 0.000 μB per cell
* space group: Cmmm

# 10
Here is a geometry-optimized BaMgSi structure from Alexandria via LeMat-Bulk. Energies are from PBE.

Geometry as extended XYZ:
```
3
Lattice="5.0515 0.0000 0.0000 2.5257 4.3747 0.0000 2.5257 1.4582 4.1245" Properties=species:S:1:pos:R:3 pbc="T T T"
Mg 7.5772 4.3747 3.0934
Ba 5.0515 2.9165 2.0623
Si 0.0000 0.0000 0.0000
```

Computed properties:
* total moment: 0.000 μB per cell
* space group: F-43m

# 11
Here is a geometry-optimized Ba2MgSi structure from Alexandria via LeMat-Bulk. Energies are from PBE.

Geometry as extended XYZ:
```
8
Lattice="6.2206 0.0000 0.0000 0.0000 6.2206 0.0000 3.1103 3.1103 10.0402" Properties=species:S:1:pos:R:3 pbc="T T T"
Ba 4.6655 4.4385 7.5302
Ba 1.3281 4.6655 2.5101
Ba 7.7758 8.0028 7.5302
Ba 4.8925 1.5552 2.5101
Mg 3.1103 3.1103 0.0000
Mg 3.1103 6.2206 5.0201
Si 0.0000 0.0000 0.0000
Si 6.2206 3.1103 5.0201
```

Computed properties:
* total moment: 0.028 μB per cell
* space group: I-42d

# 12
Here is a geometry-optimized Ba2MgSi structure from Alexandria via LeMat-Bulk. Energies are from PBE.

Geometry as extended XYZ:
```
4
Lattice="-3.8322 5.5013 -1.2961 -6.4158 2.1544 -0.9090 -2.3037 2.3031 4.5392" Properties=species:S:1:pos:R:3 pbc="T T T"
Ba -3.0400 2.4238 0.6675
Ba -2.6591 2.5427 4.2378
Si -9.7083 7.6677 1.5025
Mg -5.7240 4.6072 1.6325
```

Computed properties:
* total moment: 0.192 μB per cell
* space group: Imm2

Computed raw formation energy, in the same sequence as the records: 19.13 -22.58 -20.37 9.31 -11.50 -9.53 51.34 0.63 33.47 4.70 41.34 -13.60 kJ/mol of atoms.